DFT (GGA+U) results for a relaxed structure of ScNi2NF.

Unit cell a=3.6511 b=4.5366 c=3.6511 alpha=90.00 beta=90.00 gamma=90.00
Each line ends with the local moment (μB).
Sites, in units of the cell vectors:
1 Sc 0.0000 0.5000 0.0000  -0.08
2 Ni 0.0000 0.0000 0.5000  0.56
3 Ni 0.5000 0.0000 0.0000  0.78
4 N 0.0000 0.0000 0.0000  0.06
5 F 0.5000 0.5000 0.5000  -0.01

Output
Calculated total energy in eV per atom: -4.916
Total magnetization in μB per cell: 1.16